Th2ZrIr | Alexandria via LeMat-Bulk | PBE-GGA | relaxed; total DFT energy (no corrections) = -7.94 eV per atom; V = 29.88 Å³/atom; energy of formation from the pure elements = 0.12 eV/atom
1.0
1.8690 1.0791 9.8752
-1.8690 1.0791 9.8752
0.0000 -2.1582 9.8752
Th Zr Ir
2 1 1
Direct
0.1046 0.1046 0.1046
0.8954 0.8954 0.8954
0.0000 0.0000 0.0000
0.5000 0.5000 0.5000